# 1
# BaBe2Tl

A relaxed structure of BaBe2Tl (GGA-PBE, Alexandria).

abc: 5.0245 5.0245 3.9342
angles: 90.00 90.00 90.00
Closest atoms and distances in Å follow each position.
Space group P4/mmm (No. 123)
Unique sites:
Ba 0.0000 0.0000 0.0000  8 Be 3.19, 4 Tl 3.55
Be 0.0000 0.5000 0.5000  4 Ba 3.19, 4 Tl 3.19, 4 Be 3.55
Tl 0.5000 0.5000 0.0000  8 Be 3.19, 4 Ba 3.55

N(E_F), states/eV/atom: 0.740
Offset from the most stable computed form, kJ per mole of atoms: 51.13
DFT formation energy, eV per atom: 0.7750
ρ, Mg/m³: 6.0
Electronic total energy, eV/atom: -2.16


# 2
# Er4CuTe3

A relaxed structure of Er4CuTe3 (GGA-PBE, Alexandria).

abc: 8.8186 12.1144 4.1172
angles: 90.00 90.00 90.00
Closest atoms and distances in Å follow each position.
Space group Cmmm (No. 65)
Unique sites:
Er 0.0000 0.2338 0.0000  1 Cu 2.83, 4 Te 3.02
Er 0.2181 0.0000 0.5000  2 Cu 2.82, 2 Te 3.04
Cu 0.0000 0.0000 0.0000  6 Er 2.82-2.83
Te 0.0000 0.5000 0.0000  6 Er 3.23
Te 0.2500 0.2500 0.5000  6 Er 3.02-3.04

N(E_F), states/eV/atom: 0.601
ρ, Mg/m³: 8.4
Electronic total energy, eV/atom: -4.95
E_form (uncorrected), eV per atom: -0.981


# 3
# Ta3PbF

A relaxed structure of Ta3PbF (GGA-PBE, Alexandria).

abc: 4.4296 4.4296 4.4296
angles: 90.00 90.00 90.00
Closest atoms and distances in Å follow each position.
Space group Pm-3m (No. 221)
Unique sites:
Ta 0.0000 0.0000 0.5000  2 F 2.21
Pb 0.5000 0.5000 0.5000  12 Ta 3.13
F 0.0000 0.0000 0.0000  6 Ta 2.21

N(E_F), states/eV/atom: 0.345
Offset from the most stable computed form, kJ per mole of atoms: 0.00
ρ, Mg/m³: 14.7
Electronic total energy, eV/atom: -7.89
E_form (uncorrected), eV per atom: 0.334


# 4
# Na3Zr3VTe8

A relaxed structure of Na3Zr3VTe8 (GGA-PBE, Alexandria).

abc: 8.0890 8.0890 23.7767
angles: 90.00 90.00 120.00
Closest atoms and distances in Å follow each position.
Space group R-3m (No. 166, hexagonal axes)
Unique sites:
Na 0.0000 0.5000 0.0000  6 Te 3.20-3.22
Zr 0.0000 0.5000 0.5000  6 Te 2.92-2.93
V 0.0000 0.0000 0.5000  6 Te 2.85
Te 0.0000 0.0000 0.2414  3 Zr 2.93, 3 Na 3.20
Te 0.0089 0.5045 0.2389  1 V 2.85, 2 Zr 2.92

N(E_F), states/eV/atom: 0.528
ρ, Mg/m³: 5.2
Electronic total energy, eV/atom: -5.08
E_form (uncorrected), eV per atom: -0.819


# 5
# KTa2Hg

A relaxed structure of KTa2Hg (GGA-PBE, Alexandria).

abc: 2.9320 5.2284 5.8850
angles: 90.00 90.00 90.00
Closest atoms and distances in Å follow each position.
Space group Pmmm (No. 47)
Unique sites:
K 0.0000 0.0000 0.0000  2 K 2.93, 4 Hg 3.00
Ta 0.0000 0.5000 0.5000  6 Ta 2.93-3.00
Ta 0.5000 0.0000 0.5000  6 Ta 2.93-3.00
Hg 0.5000 0.5000 0.0000  2 Hg 2.93, 4 K 3.00

N(E_F), states/eV/atom: 0.912
DFT formation energy, eV per atom: 0.9900
ρ, Mg/m³: 11.1
Electronic total energy, eV/atom: -5.29


# 6
# Ba3ErP2N6

A relaxed structure of Ba3ErP2N6 (GGA-PBE, Alexandria).

abc: 5.9654 5.9654 7.2794
angles: 90.00 90.00 120.00
Closest atoms and distances in Å follow each position.
Space group P-3m1 (No. 164)
Unique sites:
Ba 0.0000 0.0000 0.0000  6 N 2.87
Ba 0.3333 0.6667 0.6951  9 N 2.99-3.28, 1 P 3.11
Er 0.0000 0.0000 0.5000  6 N 2.36
P 0.3333 0.6667 0.2684  3 N 1.60
N 0.1798 0.3596 0.3004  1 P 1.60

N(E_F), states/eV/atom: 0.234
ρ, Mg/m³: 5.4
Electronic total energy, eV/atom: -6.88
E_form (uncorrected), eV per atom: -0.950


# 7
# CdInHg2Pb

A relaxed structure of CdInHg2Pb (GGA-PBE, Alexandria).

abc: 4.8336 4.8336 7.1768
angles: 90.00 90.00 120.00
Closest atoms and distances in Å follow each position.
Space group P3m1 (No. 156)
Unique sites:
Cd 0.0000 0.0000 0.0000  4 Hg 2.98-3.06
In 0.3333 0.6667 0.7198  4 Hg 2.98-3.04
Hg 0.0000 0.0000 0.5740  3 In 2.98, 1 Cd 3.06, 3 Pb 3.19
Hg 0.3333 0.6667 0.1441  3 Cd 2.98, 1 In 3.04, 3 Pb 3.19
Pb 0.6667 0.3333 0.3595  6 Hg 3.19

N(E_F), states/eV/atom: 0.250
DFT formation energy, eV per atom: 0.0504
ρ, Mg/m³: 9.6
Electronic total energy, eV/atom: -1.54


# 8
# Sm3Ga2Rh6

A relaxed structure of Sm3Ga2Rh6 (GGA-PBE, Alexandria).

abc: 9.4053 9.4053 9.4053
angles: 90.00 90.00 90.00
Closest atoms and distances in Å follow each position.
Space group Im-3m (No. 229)
Unique sites:
Sm 0.0000 0.0000 0.2897  4 Rh 2.87
Ga 0.2500 0.2500 0.2500  6 Rh 2.66
Rh 0.0000 0.3441 0.3441  2 Ga 2.66, 6 Rh 2.73-2.93, 2 Sm 2.87

N(E_F), states/eV/atom: 0.894
DFT formation energy, eV per atom: -0.6884
ρ, Mg/m³: 9.6
Electronic total energy, eV/atom: -6.54


Question: The highest N(E_F) belongs to which entry?
Answer: KTa2Hg